ThTl3Se4, relaxed, DFT PBE; raw formation energy = -871.4 meV/atom; space-group type = P2/c; crystal system = monoclinic; calculated total energy = -4.428 eV per atom
1.0
7.941 0.000 0.000
0.000 8.959 0.000
-2.177 0.000 7.092
Th Tl Se
2 6 8
direct
0.000 0.129 0.250
0.000 0.871 0.750
0.000 0.382 0.750
0.000 0.618 0.250
0.500 0.130 0.750
0.500 0.378 0.250
0.500 0.622 0.750
0.500 0.870 0.250
0.214 0.103 0.994
0.214 0.897 0.494
0.228 0.362 0.482
0.228 0.638 0.982
0.772 0.362 0.018
0.772 0.638 0.518
0.786 0.103 0.506
0.786 0.897 0.006

=====

KCeMoN3, relaxed, DFT PBE; raw formation energy = -685.4 meV/atom; space-group type = C2/m; crystal system = monoclinic; calculated total energy = -7.825 eV per atom
1.0
8.458 -1.805 0.000
8.458 1.805 0.000
-1.807 0.000 7.311
K Ce Mo N
2 2 2 6
direct
0.140 0.140 0.062
0.860 0.860 0.938
0.167 0.167 0.536
0.833 0.833 0.464
0.484 0.484 0.318
0.516 0.516 0.682
0.026 0.026 0.297
0.303 0.303 0.617
0.374 0.374 0.253
0.626 0.626 0.747
0.697 0.697 0.383
0.974 0.974 0.703

=====

Ca2La2In3, relaxed, DFT PBE; space-group type = Cmmm; crystal system = orthorhombic; ΔH_f (0 K) = -0.391 eV per atom; calculated total energy = -3.544 eV per atom
1.0
1.865 -16.764 0.000
1.865 16.764 0.000
0.000 0.000 3.578
Ca La In
2 2 3
direct
0.198 0.802 0.000
0.802 0.198 0.000
0.068 0.932 0.000
0.932 0.068 0.000
0.364 0.636 0.500
0.500 0.500 0.500
0.636 0.364 0.500

=====

KMgScF6, relaxed, DFT PBE; raw formation energy = -3575.8 meV/atom; space-group type = Imma; crystal system = orthorhombic; calculated total energy = -5.826 eV per atom
1.0
-3.676 3.841 5.339
3.676 -3.841 5.339
3.676 3.841 -5.339
K Mg Sc F
2 2 2 12
direct
0.310 0.060 0.250
0.690 0.940 0.750
0.000 0.000 0.500
0.000 0.500 0.000
0.000 0.500 0.500
0.500 0.500 0.000
0.056 0.418 0.235
0.056 0.821 0.638
0.061 0.811 0.250
0.317 0.179 0.735
0.317 0.582 0.138
0.321 0.571 0.750
0.679 0.429 0.250
0.683 0.418 0.862
0.683 0.821 0.265
0.939 0.189 0.750
0.944 0.179 0.362
0.944 0.582 0.765